# 1
The following is a PBE-GGA calculation of a relaxed structure of BaCu2Re, from Alexandria.

Summary:
Excess energy over the best structure of this formula in the dataset   2.019 eV/f.u.
ΔE_f   0.991 eV/atom
N(E_F)   13.52 states/eV per cell

a b c (Å): 3.0238 3.0238 28.6371
angles (deg): 90.00 90.00 120.00
Space group R-3m (No. 166, hexagonal axes)
One atom of each set of equivalent atoms:
Ba1 0.0000 0.0000 0.0000 [3 per cell]
Cu1 0.0000 0.0000 0.2342 [6 per cell]
Re1 0.0000 0.0000 0.5000 [3 per cell]



# 2
The following is a PBE-GGA calculation of a relaxed structure of BaCuRe3, from Alexandria.

Summary:
Excess energy over the best structure of this formula in the dataset   0.000 eV/f.u.
ΔE_f   2.052 eV/atom
N(E_F)   9.32 states/eV per cell

a b c (Å): 4.7208 4.7208 4.7208
angles (deg): 90.00 90.00 90.00
Space group Pm-3m (No. 221)
One atom of each set of equivalent atoms:
Ba1 0.0000 0.0000 0.0000 [1 per cell]
Cu1 0.5000 0.5000 0.5000 [1 per cell]
Re1 0.0000 0.5000 0.5000 [3 per cell]



# 3
The following is a PBE-GGA calculation of a relaxed structure of BaCuRe2, from Alexandria.

Summary:
Excess energy over the best structure of this formula in the dataset   4.034 eV/f.u.
ΔE_f   1.451 eV/atom
N(E_F)   7.07 states/eV per cell

a b c (Å): 5.3851 10.6412 2.7681
angles (deg): 90.00 90.00 90.00
Space group Cmmm (No. 65)
One atom of each set of equivalent atoms:
Ba1 0.0000 0.0000 0.0000 [2 per cell]
Cu1 0.0000 0.5000 0.0000 [2 per cell]
Re1 0.2500 0.2500 0.5000 [4 per cell]



# 4
The following is a PBE-GGA calculation of a relaxed structure of BaCu2Re, from Alexandria.

Summary:
Excess energy over the best structure of this formula in the dataset   1.815 eV/f.u.
ΔE_f   0.940 eV/atom
N(E_F)   7.65 states/eV per cell

a b c (Å): 6.6479 7.5791 2.9405
angles (deg): 90.00 90.00 90.00
Space group Cmmm (No. 65)
One atom of each set of equivalent atoms:
Ba1 0.0000 0.0000 0.0000 [2 per cell]
Cu1 0.2500 0.2500 0.5000 [4 per cell]
Re1 0.0000 0.5000 0.0000 [2 per cell]